Material: SmHo2Bi4
Method: DFT, PBE-GGA
State: relaxed

abc: 4.515 6.118 17.091
angles: 90.00 90.00 111.65
Positions (direct):
Sm (0.555, 0.111, 0.750)
Sm (0.445, 0.889, 0.250)
Ho (0.160, 0.319, 0.426)
Ho (0.840, 0.681, 0.926)
Ho (0.160, 0.319, 0.074)
Ho (0.840, 0.681, 0.574)
Bi (0.850, 0.700, 0.120)
Bi (0.850, 0.700, 0.380)
Bi (0.150, 0.300, 0.880)
Bi (0.150, 0.300, 0.620)
Bi (0.846, 0.692, 0.750)
Bi (0.154, 0.308, 0.250)
Bi (0.500, 0.000, 0.000)
Bi (0.500, 0.000, 0.500)



Material: SmHo2Bi2
Method: DFT, PBE-GGA
State: relaxed

abc: 4.809 4.809 8.920
angles: 117.12 117.12 79.96
Positions (direct):
Sm (0.000, 0.000, 0.000)
Ho (0.250, 0.750, 0.500)
Ho (0.750, 0.250, 0.500)
Bi (0.543, 0.543, 0.211)
Bi (0.457, 0.457, 0.789)



Material: SmHoBi2
Method: DFT, PBE-GGA
State: relaxed

Energy above the most stable polymorph in this dataset   680 meV per atom

abc: 3.574 3.574 11.922
angles: 81.38 81.38 60.00
Positions (direct):
Bi (0.090, 0.090, 0.731)
Bi (0.910, 0.910, 0.269)
Sm (0.500, 0.500, 0.500)
Ho (0.000, 0.000, 0.000)



Material: Sm3Ho4Bi4
Method: DFT, PBE-GGA
State: relaxed

abc: 4.227 9.443 10.077
angles: 117.94 102.11 90.00
Last column: magnetic moment on the atom in μB.
Positions (direct):
Sm (0.105, 0.105, 0.211)  0.02
Sm (0.895, 0.895, 0.789)  0.02
Sm (0.000, 0.500, 0.000)  -0.01
Ho (0.331, 0.141, 0.661)  0.08
Ho (0.669, 0.480, 0.339)  0.08
Ho (0.669, 0.859, 0.339)  0.08
Ho (0.331, 0.520, 0.661)  0.08
Bi (0.255, 0.755, 0.509)  0.00
Bi (0.745, 0.245, 0.491)  0.00
Bi (0.500, 0.794, 0.000)  0.00
Bi (0.500, 0.206, 0.000)  0.00



| no. | calculated volume (Å³/atom) | formation energy (meV/atom) |
| --- | --- | --- |
| 1 | 31.34 | -611 |
| 2 | 32.65 | -424 |
| 3 | 32.48 | -200 |
| 4 | 31.38 | -562 |